# Ac2PrInCo

A relaxed Ac2PrInCo crystal (PBE, the Alexandria database).

- final energy (hartree per atom) = -0.1720

```
data_Ac2PrInCo
_symmetry_space_group_name_H-M 'P 1 21/m 1'
_symmetry_Int_Tables_number 11
_cell_length_a 7.752
_cell_length_b 4.962
_cell_length_c 8.809
_cell_angle_alpha 90.00
_cell_angle_beta 103.94
_cell_angle_gamma 90.00
loop_
_symmetry_equiv_pos_as_xyz
'x,y,z'
'-x,-y,-z'
'-x,y+1/2,-z'
'x,-y+1/2,z'
loop_
_atom_site_label
_atom_site_fract_x
_atom_site_fract_y
_atom_site_fract_z
_atom_site_occupancy
Ac1 0.054 0.250 0.321 1
Ac2 0.395 0.750 0.612 1
Pr1 0.287 0.250 0.944 1
In1 0.321 0.750 0.188 1
Co1 0.204 0.250 0.640 1
```